Here is crystalline V2CdC at its relaxed geometry from Alexandria. Energies are from GGA-PBE.

POSCAR file:
```
V2CdC
1.0
-1.2210 2.6914 0.4336
-2.3680 0.2938 1.7969
3.0386 2.0448 6.1529
C V Cd
1 2 1
Direct
0.0000 0.0000 0.0000
0.2828 0.2828 0.1516
0.7172 0.7172 0.8484
0.5000 0.5000 0.5000
```

Calculated values
**M_tot**: 0.000 μB/atom
**Calculated density**: 6.998 g cm⁻³
**Electronic total energy**: -7.381 eV per atom

***

Here is crystalline VCd3C at its relaxed geometry from Alexandria. Energies are from GGA-PBE.

POSCAR file:
```
VCd3C
1.0
4.6277 0.0000 0.0000
0.0000 4.6277 0.0000
0.0000 0.0000 4.6277
C Cd V
1 3 1
Direct
0.0000 0.0000 0.0000
0.0000 0.5000 0.0000
0.0000 0.0000 0.5000
0.5000 0.0000 0.0000
0.5000 0.5000 0.5000
```

Calculated values
**M_tot**: 0.834 μB/atom
**Calculated density**: 6.705 g cm⁻³
**Energy above the lowest structure with this stoichiometry**: 0 meV/atom
**Electronic total energy**: -3.050 eV per atom